No. 1
A plane-wave DFT calculation with GGA-PBE was carried out for a geometry-optimized AcSm2Y8 structure.

Crystal system: monoclinic
Energy above the most stable polymorph in this dataset, meV/atom: 3
Space-group type: C2/m, No. 12
D(E_F), states/eV per atom: 1.70

```
AcSm2Y8
1.0
5.5312 -0.4856 -0.3392
0.5180 10.0081 2.6290
0.5180 5.9126 8.4920
Y Ac Sm
8 1 2
Cartesian
5.0728 12.5278 8.7510
1.8734 6.6255 2.6137
4.6768 6.8419 4.7792
1.8904 8.5931 6.0025
1.8734 4.7342 5.3213
4.6938 10.7009 5.4605
4.6938 8.8096 8.1680
1.4944 2.9072 2.0307
0.0000 0.0000 0.0000
4.4629 4.1770 2.9177
2.1043 11.2581 7.8641
```

***

No. 2
A plane-wave DFT calculation with GGA-PBE was carried out for a geometry-optimized YTiCo2Ge structure.

E, eV/atom: -5.05
Crystal system: tetragonal
Space-group type: P4/mmm, No. 123
D(E_F), states/eV per atom: 1.38

```
YTiCo2Ge
1.0
-3.6616 0.2320 2.6710
2.6082 -2.2566 3.7715
1.3506 4.0653 1.4984
Ti Co Ge Y
1 2 1 1
Cartesian
1.3041 -1.1283 1.8857
0.6753 2.0326 0.7492
-1.8308 0.1160 1.3355
0.1486 1.0203 3.9705
0.0000 0.0000 0.0000
```

***

No. 3
A plane-wave DFT calculation with GGA-PBE was carried out for a geometry-optimized Ba3GeH structure.

Crystal system: cubic
Energy above the most stable polymorph in this dataset, meV/atom: 119
Space-group type: Pm-3m, No. 221
D(E_F), states/eV per atom: 0.91

```
Ba3GeH
1.0
-4.4953 -2.9588 0.9139
1.9102 -1.3815 4.9234
-2.4374 4.3743 2.1730
Ba H Ge
3 1 1
Cartesian
0.9551 -0.6907 2.4617
-2.2476 -1.4794 0.4569
-1.2187 2.1871 1.0865
0.0000 0.0000 0.0000
-2.5112 0.0170 4.0051
```

***

No. 4
A plane-wave DFT calculation with GGA-PBE was carried out for a geometry-optimized Sm3RuBr2 structure.

Crystal system: orthorhombic
Space-group type: Immm, No. 71
D(E_F), states/eV per atom: 0.71
Formation energy (no corrections), eV per formula unit: -5.460

```
Sm3RuBr2
1.0
-1.3325 -3.6223 0.9722
2.8443 -2.2583 -4.5153
5.2286 1.8914 6.0659
Br Ru Sm
2 1 3
Cartesian
1.5951 -2.2075 2.1088
5.1453 -1.7817 0.4140
1.4222 -1.1291 -2.2577
2.2544 -3.2029 -0.6962
0.0000 0.0000 0.0000
4.4859 -0.7862 3.2190
```

***

Quick rundown of size of the total moment, same order as above: 0.0 2.2 0.0 0.0 μB per cell